First-principles (PBE) data for an optimized crystal structure of TbTm6Zr, as listed in the Alexandria database.

abc: 6.631 6.337 6.566
angles: 78.57 63.32 92.45
Sites, in units of the cell vectors:
Tm 0.442 0.243 0.011
Tm 0.558 0.757 0.989
Tm 0.903 0.224 0.538
Tm 0.594 0.746 0.488
Tm 0.406 0.254 0.512
Tm 0.097 0.776 0.462
Tb 0.000 0.500 0.000
Zr 0.000 0.000 0.000

Computed properties:
Energy above the most stable polymorph in this dataset (meV per atom): 194
Energy relative to the elements (kcal/mol of atoms): 5.612
Energy (eV for the cell shown): -38.1